{"formula": "AgHg2Pb", "functional": "PBE", "state": "optimized geometry", "lattice": [[-1.864, 3.706, -2.889], [-1.808, 0.914, -4.631], [-6.289, -0.920, 1.273]], "species": ["Pb", "Hg", "Hg", "Ag"], "fractional_positions": [[0.513, 0.513, 0.478], [0.991, 0.991, 0.020], [0.744, 0.744, 0.776], [0.252, 0.252, 0.226]], "ef_ev_per_fu": 0.36, "dos_at_fermi_per_ev_cell": 1.08}

---

{"formula": "AgHg2Pb", "functional": "PBE", "state": "optimized geometry", "lattice": [[-0.922, 2.415, -3.245], [-4.143, -2.575, -0.740], [-2.385, 3.001, 2.912]], "species": ["Pb", "Hg", "Hg", "Ag"], "fractional_positions": [[0.500, 0.000, 0.500], [0.000, 0.000, 0.000], [0.500, 0.500, 0.000], [0.000, 0.500, 0.500]], "ef_ev_per_fu": 0.42, "dos_at_fermi_per_ev_cell": 1.06}

---

{"formula": "AgHgPb2", "functional": "PBE", "state": "optimized geometry", "lattice": [[5.242, 0.459, 0.000], [-0.821, 5.197, 0.000], [0.000, 0.000, 3.801]], "species": ["Pb", "Pb", "Hg", "Ag"], "fractional_positions": [[0.000, 0.000, 0.000], [0.500, 0.500, 0.000], [0.000, 0.500, 0.500], [0.500, 0.000, 0.500]], "ef_ev_per_fu": 0.35, "dos_at_fermi_per_ev_cell": 1.12}

---

{"formula": "Ag2HgPb", "functional": "PBE", "state": "optimized geometry", "lattice": [[-2.057, -2.715, -3.734], [4.518, -0.344, -2.239], [0.660, -2.959, 1.788]], "species": ["Pb", "Hg", "Ag", "Ag"], "fractional_positions": [[0.000, 0.500, 0.500], [0.500, 0.000, 0.500], [0.000, 0.000, 0.000], [0.500, 0.500, 0.000]], "ef_ev_per_fu": 0.51, "dos_at_fermi_per_ev_cell": 1.38}

---

{"formula": "Ag2HgPb", "functional": "PBE", "state": "optimized geometry", "lattice": [[8.023, 0.000, 0.000], [0.000, 8.023, 0.000], [4.012, 4.012, 3.045]], "species": ["Pb", "Pb", "Hg", "Hg", "Ag", "Ag", "Ag", "Ag"], "fractional_positions": [[0.000, 0.000, 0.000], [0.750, 0.250, 0.500], [0.500, 0.500, 0.000], [0.250, 0.750, 0.500], [0.614, 0.125, 0.250], [0.136, 0.625, 0.250], [0.375, 0.386, 0.750], [0.875, 0.864, 0.750]], "ef_ev_per_fu": 0.81, "dos_at_fermi_per_ev_cell": 2.65}

---

{"formula": "AgHg2Pb", "functional": "PBE", "state": "optimized geometry", "lattice": [[-2.889, -3.363, -1.693], [2.622, -2.505, 0.502], [-0.356, -2.546, 5.665]], "species": ["Pb", "Hg", "Hg", "Ag"], "fractional_positions": [[0.000, 0.559, 0.550], [0.000, 0.801, 0.021], [0.500, 0.218, 0.207], [0.500, 0.922, 0.722]], "ef_ev_per_fu": 0.34, "dos_at_fermi_per_ev_cell": 1.47}

---

{"formula": "AgHg2Pb8", "functional": "PBE", "state": "optimized geometry", "lattice": [[5.726, 0.882, 0.733], [1.346, 8.265, 0.666], [1.346, 2.166, 8.004]], "species": ["Ag", "Hg", "Hg", "Pb", "Pb", "Pb", "Pb", "Pb", "Pb", "Pb", "Pb"], "fractional_positions": [[0.000, 0.000, 0.000], [0.489, 0.130, 0.130], [0.511, 0.870, 0.870], [0.810, 0.192, 0.665], [0.190, 0.335, 0.808], [0.899, 0.242, 0.242], [0.101, 0.758, 0.758], [0.810, 0.665, 0.192], [0.190, 0.808, 0.335], [0.278, 0.384, 0.384], [0.722, 0.616, 0.616]], "ef_ev_per_fu": 1.20, "dos_at_fermi_per_ev_cell": 5.49}

---

{"formula": "AgHg3Pb12", "functional": "PBE", "state": "optimized geometry", "lattice": [[4.914, 0.000, 0.000], [0.000, 4.914, 0.000], [0.000, 0.000, 19.406]], "species": ["Ag", "Hg", "Hg", "Hg", "Pb", "Pb", "Pb", "Pb", "Pb", "Pb", "Pb", "Pb", "Pb", "Pb", "Pb", "Pb"], "fractional_positions": [[0.000, 0.000, 0.000], [0.000, 0.000, 0.250], [0.000, 0.000, 0.500], [0.000, 0.000, 0.750], [0.500, 0.500, 0.000], [0.500, 0.500, 0.246], [0.500, 0.500, 0.500], [0.500, 0.500, 0.754], [0.500, 0.000, 0.119], [0.500, 0.000, 0.374], [0.500, 0.000, 0.626], [0.500, 0.000, 0.881], [0.000, 0.500, 0.119], [0.000, 0.500, 0.374], [0.000, 0.500, 0.626], [0.000, 0.500, 0.881]], "ef_ev_per_fu": 0.53, "dos_at_fermi_per_ev_cell": 8.40}

---

{"formula": "AgHgPb2", "functional": "PBE", "state": "optimized geometry", "lattice": [[-2.587, 3.919, 3.280], [-5.473, -1.554, 0.663], [4.859, -2.933, 0.773]], "species": ["Pb", "Pb", "Hg", "Ag"], "fractional_positions": [[0.000, 0.000, 0.000], [0.250, 0.750, 0.500], [0.750, 0.250, 0.500], [0.500, 0.500, 0.000]], "ef_ev_per_fu": 0.43, "dos_at_fermi_per_ev_cell": 1.77}

---

{"formula": "Ag2HgPb2", "functional": "PBE", "state": "optimized geometry", "lattice": [[-3.982, 2.126, -0.955], [-2.228, -2.915, 2.797], [-2.130, 3.693, 5.958]], "species": ["Pb", "Pb", "Hg", "Ag", "Ag"], "fractional_positions": [[0.750, 0.250, 0.500], [0.250, 0.750, 0.500], [0.000, 0.000, 0.000], [0.397, 0.397, 0.205], [0.603, 0.603, 0.795]], "ef_ev_per_fu": 1.30, "dos_at_fermi_per_ev_cell": 2.31}

---

{"formula": "AgHgPb2", "functional": "PBE", "state": "optimized geometry", "lattice": [[8.378, 0.000, 0.000], [0.000, 8.378, 0.000], [4.189, 4.189, 3.199]], "species": ["Pb", "Pb", "Pb", "Pb", "Hg", "Hg", "Ag", "Ag"], "fractional_positions": [[0.601, 0.125, 0.250], [0.149, 0.625, 0.250], [0.375, 0.399, 0.750], [0.875, 0.851, 0.750], [0.000, 0.000, 0.000], [0.750, 0.250, 0.500], [0.500, 0.500, 0.000], [0.250, 0.750, 0.500]], "ef_ev_per_fu": 0.65, "dos_at_fermi_per_ev_cell": 3.78}

---

{"formula": "AgHg2Pb", "functional": "PBE", "state": "optimized geometry", "lattice": [[-5.612, -2.535, -7.642], [-7.710, -3.463, -4.987], [-7.674, -0.141, -6.116]], "species": ["Pb", "Hg", "Hg", "Ag"], "fractional_positions": [[0.493, 0.493, 0.493], [0.005, 0.005, 0.005], [0.256, 0.256, 0.256], [0.746, 0.746, 0.746]], "ef_ev_per_fu": 0.33, "dos_at_fermi_per_ev_cell": 0.96}

---

{"formula": "AgHg2Pb", "functional": "PBE", "state": "optimized geometry", "lattice": [[8.292, 0.000, 0.000], [0.000, 8.292, 0.000], [4.146, 4.146, 3.058]], "species": ["Pb", "Pb", "Hg", "Hg", "Hg", "Hg", "Ag", "Ag"], "fractional_positions": [[0.000, 0.000, 0.000], [0.750, 0.250, 0.500], [0.598, 0.125, 0.250], [0.152, 0.625, 0.250], [0.375, 0.402, 0.750], [0.875, 0.848, 0.750], [0.500, 0.500, 0.000], [0.250, 0.750, 0.500]], "ef_ev_per_fu": 0.51, "dos_at_fermi_per_ev_cell": 3.61}

---

{"formula": "AgHgPb", "functional": "PBE", "state": "optimized geometry", "lattice": [[-3.135, 3.725, 3.906], [-1.951, 0.953, 5.852], [2.426, 2.133, 1.560]], "species": ["Pb", "Hg", "Ag"], "fractional_positions": [[0.343, 0.343, 0.657], [0.649, 0.649, 0.351], [0.009, 0.009, 0.991]], "ef_ev_per_fu": 0.23, "dos_at_fermi_per_ev_cell": 1.21}

---

{"formula": "AgHg2Pb", "functional": "PBE", "state": "optimized geometry", "lattice": [[-8.181, 7.220, 0.757], [-8.440, 5.875, 3.725], [-6.330, 8.319, 3.217]], "species": ["Pb", "Hg", "Hg", "Ag"], "fractional_positions": [[0.250, 0.250, 0.250], [0.010, 0.010, 0.010], [0.490, 0.490, 0.490], [0.750, 0.750, 0.750]], "ef_ev_per_fu": 0.26, "dos_at_fermi_per_ev_cell": 0.32}

---

{"formula": "AgHgPb2", "functional": "PBE", "state": "optimized geometry", "lattice": [[-3.313, 2.651, -0.419], [-0.928, -0.664, 3.133], [3.367, 5.029, 5.199]], "species": ["Pb", "Pb", "Hg", "Ag"], "fractional_positions": [[0.000, 0.981, 0.017], [0.000, 0.519, 0.483], [0.500, 0.750, 0.750], [0.500, 0.250, 0.250]], "ef_ev_per_fu": 0.33, "dos_at_fermi_per_ev_cell": 1.07}

---

{"formula": "AgHg2Pd5Pb2", "functional": "PBE", "state": "optimized geometry", "lattice": [[3.474, 0.000, 0.000], [0.000, 10.712, 0.000], [0.000, 0.000, 10.712]], "species": ["Ag", "Ag", "Hg", "Hg", "Hg", "Hg", "Pd", "Pd", "Pd", "Pd", "Pd", "Pd", "Pd", "Pd", "Pd", "Pd", "Pb", "Pb", "Pb", "Pb"], "fractional_positions": [[0.000, 0.000, 0.000], [0.000, 0.500, 0.500], [0.000, 0.150, 0.650], [0.000, 0.850, 0.350], [0.000, 0.650, 0.850], [0.000, 0.350, 0.150], [0.500, 0.204, 0.002], [0.500, 0.796, 0.998], [0.500, 0.002, 0.796], [0.500, 0.704, 0.498], [0.500, 0.998, 0.204], [0.500, 0.296, 0.502], [0.500, 0.502, 0.704], [0.500, 0.498, 0.296], [0.500, 0.500, 0.000], [0.500, 0.000, 0.500], [0.000, 0.660, 0.160], [0.000, 0.340, 0.840], [0.000, 0.160, 0.340], [0.000, 0.840, 0.660]], "ef_ev_per_fu": -0.42, "dos_at_fermi_per_ev_cell": 10.63}

---

{"formula": "PmAgHgPb", "functional": "PBE", "state": "optimized geometry", "lattice": [[-0.716, -4.440, -1.509], [0.030, -1.531, 4.490], [-4.106, 3.619, -1.245]], "species": ["Pm", "Ag", "Hg", "Pb"], "fractional_positions": [[0.750, 0.250, 0.500], [0.000, 0.000, 0.000], [0.500, 0.500, 0.000], [0.250, 0.750, 0.500]], "ef_ev_per_fu": -1.28, "dos_at_fermi_per_ev_cell": 1.34}

---

{"formula": "PmAgHgPb", "functional": "PBE", "state": "optimized geometry", "lattice": [[5.235, 0.000, 0.000], [2.617, 4.533, 0.000], [2.617, 1.511, 4.274]], "species": ["Pb", "Hg", "Ag", "Pm"], "fractional_positions": [[0.500, 0.500, 0.500], [0.750, 0.750, 0.750], [0.250, 0.250, 0.250], [0.000, 0.000, 0.000]], "ef_ev_per_fu": -1.17, "dos_at_fermi_per_ev_cell": 1.12}

---

{"formula": "PrAgHgPb", "functional": "PBE", "state": "optimized geometry", "lattice": [[5.275, 0.000, 0.000], [2.638, 4.568, 0.000], [2.638, 1.523, 4.307]], "species": ["Pb", "Pr", "Hg", "Ag"], "fractional_positions": [[0.500, 0.500, 0.500], [0.000, 0.000, 0.000], [0.750, 0.750, 0.750], [0.250, 0.250, 0.250]], "ef_ev_per_fu": -1.24, "dos_at_fermi_per_ev_cell": 1.09}

---

{"formula": "PrAgHgPb", "functional": "PBE", "state": "optimized geometry", "lattice": [[-3.100, 1.115, -3.509], [3.148, -1.575, -3.282], [-1.803, -3.879, 3.661]], "species": ["Pr", "Ag", "Hg", "Pb"], "fractional_positions": [[0.250, 0.750, 0.500], [0.000, 0.000, 0.000], [0.500, 0.500, 0.000], [0.750, 0.250, 0.500]], "ef_ev_per_fu": -1.32, "dos_at_fermi_per_ev_cell": 1.19}

---

{"formula": "AgHgRhPb", "functional": "PBE", "state": "optimized geometry", "lattice": [[4.821, 0.000, 0.000], [2.411, 4.175, 0.000], [2.411, 1.392, 3.936]], "species": ["Pb", "Rh", "Hg", "Ag"], "fractional_positions": [[0.250, 0.250, 0.250], [0.500, 0.500, 0.500], [0.750, 0.750, 0.750], [0.000, 0.000, 0.000]], "ef_ev_per_fu": 0.65, "dos_at_fermi_per_ev_cell": 2.84}

---

{"formula": "AgHgRu2Pb", "functional": "PBE", "state": "optimized geometry", "lattice": [[5.018, 0.000, 0.000], [0.000, 5.265, 0.000], [0.000, 0.000, 5.018]], "species": ["Pb", "Ru", "Ru", "Hg", "Ag"], "fractional_positions": [[0.000, 0.500, 0.000], [0.000, 0.000, 0.500], [0.500, 0.000, 0.000], [0.500, 0.500, 0.500], [0.000, 0.000, 0.000]], "ef_ev_per_fu": 8.47, "dos_at_fermi_per_ev_cell": 7.58}

---

{"formula": "AgHgPbS2", "functional": "PBE", "state": "optimized geometry", "lattice": [[5.219, 0.000, 0.000], [0.000, 5.709, 0.000], [0.000, 0.000, 5.219]], "species": ["Pb", "S", "S", "Hg", "Ag"], "fractional_positions": [[0.000, 0.000, 0.000], [0.000, 0.000, 0.500], [0.500, 0.000, 0.000], [0.500, 0.500, 0.500], [0.000, 0.500, 0.000]], "dos_at_fermi_per_ev_cell": 3.98, "raw_formation_energy_ev_per_atom": 0.56}

---

{"formula": "SmAgHgPb", "functional": "PBE", "state": "optimized geometry", "lattice": [[5.221, 0.000, 0.000], [2.610, 4.521, 0.000], [2.610, 1.507, 4.263]], "species": ["Pb", "Ag", "Hg", "Sm"], "fractional_positions": [[0.000, 0.000, 0.000], [0.750, 0.750, 0.750], [0.250, 0.250, 0.250], [0.500, 0.500, 0.500]], "ef_ev_per_fu": -1.13, "dos_at_fermi_per_ev_cell": 1.16}

---

{"formula": "SmAgHgPb", "functional": "PBE", "state": "optimized geometry", "lattice": [[-4.184, -0.934, -1.982], [1.131, -4.580, -0.230], [-0.263, 2.110, 5.189]], "species": ["Sm", "Ag", "Hg", "Pb"], "fractional_positions": [[0.250, 0.750, 0.500], [0.000, 0.000, 0.000], [0.500, 0.500, 0.000], [0.750, 0.250, 0.500]], "ef_ev_per_fu": -1.24, "dos_at_fermi_per_ev_cell": 1.46}

---

{"formula": "AgSnHgPb", "functional": "PBE", "state": "optimized geometry", "lattice": [[5.236, 0.000, 0.000], [2.618, 4.535, 0.000], [2.618, 1.512, 4.275]], "species": ["Pb", "Hg", "Ag", "Sn"], "fractional_positions": [[0.000, 0.000, 0.000], [0.750, 0.750, 0.750], [0.250, 0.250, 0.250], [0.500, 0.500, 0.500]], "ef_ev_per_fu": 0.50, "dos_at_fermi_per_ev_cell": 1.73}